No. 1
Below is an optimized crystal structure of Hf2AsSeS, with properties calculated at the PBE level.

## Properties
The uncorrected formation energy is 0.4190 eV per atom. Its size of the total moment is 0.000 μB per atom. Its total energy is -6.0146 eV/atom.

Cell: 5.030 4.572 5.030 Å, 90.00 90.00 90.00°
Fractional coordinates of all 5 atoms:
Hf: 0.000 0.000 0.500
Hf: 0.500 0.000 0.000
Se: 0.000 0.000 0.000
S: 0.000 0.500 0.000
As: 0.500 0.500 0.500


No. 2
Below is an optimized crystal structure of SrSm2Au3, with properties calculated at the PBE level.

## Properties
Its size of the total moment is 0.000 μB per atom. Its total energy is -4.2753 eV/atom. The calculated formation energy comes out at -0.78 eV/atom.

Cell: 3.718 3.718 11.301 Å, 90.00 90.00 90.00°
Fractional coordinates of all 6 atoms:
Sm: 0.500 0.500 0.836
Sm: 0.500 0.500 0.164
Sr: 0.500 0.500 0.500
Au: 0.000 0.000 0.692
Au: 0.000 0.000 0.000
Au: 0.000 0.000 0.308


No. 3
Below is an optimized crystal structure of PrDyGaSn, with properties calculated at the PBE level.

## Properties
The calculation puts the relative energy among the computed polymorphs at 0.60 eV per formula unit. Its size of the total moment is 0.000 μB per atom. Its total energy is -4.6473 eV/atom. The calculated formation energy comes out at -0.54 eV/atom.

Cell: 5.321 5.321 5.321 Å, 60.00 60.00 60.00°
Fractional coordinates of all 4 atoms:
Dy: 0.750 0.750 0.750
Ga: 0.000 0.000 0.000
Sn: 0.500 0.500 0.500
Pr: 0.250 0.250 0.250


No. 4
Below is an optimized crystal structure of Pm3YEr2, with properties calculated at the PBE level.

## Properties
The calculation puts the relative energy among the computed polymorphs at 0.00 eV per formula unit. Its size of the total moment is 0.000 μB per atom. Its total energy is -4.9645 eV/atom. The calculated formation energy comes out at 0.01 eV/atom.

Cell: 3.600 6.230 17.593 Å, 83.15 90.00 90.00°
Fractional coordinates of all 12 atoms:
Pm: 0.750 0.748 0.002
Pm: 0.250 0.974 0.833
Pm: 0.750 0.026 0.167
Y: 0.750 0.637 0.334
Pm: 0.250 0.252 0.998
Pm: 0.750 0.862 0.665
Er: 0.750 0.250 0.500
Er: 0.250 0.750 0.500
Y: 0.250 0.363 0.666
Er: 0.250 0.523 0.168
Pm: 0.250 0.138 0.335
Er: 0.750 0.477 0.832


No. 5
Below is an optimized crystal structure of AcLaAl4, with properties calculated at the PBE level.

## Properties
Its size of the total moment is 0.000 μB per atom. Its total energy is -4.4270 eV/atom. The calculated formation energy comes out at -0.43 eV/atom.

Cell: 5.833 5.833 5.833 Å, 60.00 60.00 60.00°
Fractional coordinates of all 6 atoms:
Ac: 0.250 0.250 0.250
Al: 0.625 0.625 0.625
La: 0.000 0.000 0.000
Al: 0.625 0.625 0.124
Al: 0.625 0.124 0.625
Al: 0.124 0.625 0.625


No. 6
Below is an optimized crystal structure of VReSb2, with properties calculated at the PBE level.

## Properties
The calculation puts the relative energy among the computed polymorphs at 0.00 eV per formula unit. The uncorrected formation energy is 0.3377 eV per atom. Its size of the total moment is 0.567 μB per atom. Its total energy is -7.1152 eV/atom.

Cell: 4.674 4.674 4.674 Å, 60.00 60.00 60.00°
Last column: magnetic moment on the atom in μB.
Fractional coordinates of all 4 atoms:
V: 0.000 0.000 0.000  1.93
Sb: 0.750 0.750 0.750  -0.06
Re: 0.500 0.500 0.500  0.16
Sb: 0.250 0.250 0.250  -0.06


No. 7
Below is an optimized crystal structure of GdDyTlRu, with properties calculated at the PBE level.

## Properties
Its size of the total moment is 1.766 μB per atom. Its total energy is -7.8190 eV/atom. The calculated formation energy comes out at -0.24 eV/atom.

Cell: 5.106 5.106 5.106 Å, 60.00 60.00 60.00°
Last column: magnetic moment on the atom in μB.
Fractional coordinates of all 4 atoms:
Dy: 0.500 0.500 0.500  0.02
Tl: 0.250 0.250 0.250  0.00
Ru: 0.750 0.750 0.750  -0.11
Gd: 0.000 0.000 0.000  7.02


No. 8
Below is an optimized crystal structure of CuPH2, with properties calculated at the PBE level.

## Properties
The calculation puts the relative energy among the computed polymorphs at 3.07 eV per formula unit. Its size of the total moment is 0.000 μB per atom. Its total energy is -3.2147 eV/atom.

Cell: 3.621 3.621 3.621 Å, 60.00 60.00 60.00°
Fractional coordinates of all 4 atoms:
Cu: 0.500 0.500 0.500
H: 0.750 0.750 0.750
P: 0.000 0.000 0.000
H: 0.250 0.250 0.250


No. 9
Below is an optimized crystal structure of Cr2CuOs, with properties calculated at the PBE level.

## Properties
Its size of the total moment is 0.000 μB per atom. Its total energy is -8.4263 eV/atom. The calculated formation energy comes out at 0.22 eV/atom.

Cell: 3.771 2.623 5.745 Å, 62.74 90.00 90.00°
Fractional coordinates of all 4 atoms:
Os: 0.500 0.750 0.750
Cr: 0.000 0.491 0.508
Cr: 0.000 0.009 0.992
Cu: 0.500 0.250 0.250


No. 10
Below is an optimized crystal structure of La2Si2Ge, with properties calculated at the PBE level.

## Properties
The calculation puts the relative energy among the computed polymorphs at 0.00 eV per formula unit. The uncorrected formation energy is -0.6872 eV per atom. Its size of the total moment is 0.000 μB per atom. Its total energy is -5.7509 eV/atom.

Cell: 4.392 6.023 10.077 Å, 81.17 77.41 68.61°
Fractional coordinates of all 10 atoms:
Ge: 0.561 0.187 0.691
Ge: 0.439 0.813 0.309
La: 0.707 0.226 0.359
Si: 0.388 0.118 0.105
La: 0.105 0.693 0.097
La: 0.293 0.774 0.641
Si: 0.977 0.640 0.405
Si: 0.612 0.882 0.895
La: 0.895 0.307 0.903
Si: 0.023 0.360 0.595


No. 11
Below is an optimized crystal structure of Sm2P3PdRh12, with properties calculated at the PBE level.

## Properties
Its size of the total moment is 0.000 μB per atom. Its total energy is -6.7810 eV/atom. The calculated formation energy comes out at -0.17 eV/atom.

Cell: 6.710 6.710 6.710 Å, 82.86 82.86 82.86°
Fractional coordinates of all 18 atoms:
Rh: 0.636 0.636 0.089
Rh: 0.827 0.334 0.827
Rh: 0.636 0.089 0.636
Rh: 0.334 0.827 0.827
Rh: 0.364 0.911 0.364
Rh: 0.364 0.364 0.911
Rh: 0.173 0.666 0.173
P: 0.000 0.000 0.500
Rh: 0.827 0.827 0.334
Rh: 0.173 0.173 0.666
P: 0.500 0.000 0.000
Sm: 0.377 0.377 0.377
Rh: 0.911 0.364 0.364
Pd: 0.000 0.000 0.000
P: 0.000 0.500 0.000
Rh: 0.089 0.636 0.636
Rh: 0.666 0.173 0.173
Sm: 0.623 0.623 0.623


No. 12
Below is an optimized crystal structure of PtPb2Br, with properties calculated at the PBE level.

## Properties
The calculation puts the relative energy among the computed polymorphs at 1.37 eV per formula unit. The uncorrected formation energy is -0.0402 eV per atom. Its size of the total moment is 0.000 μB per atom. Its total energy is -3.8228 eV/atom.

Cell: 5.209 5.209 5.209 Å, 60.00 60.00 60.00°
Fractional coordinates of all 4 atoms:
Br: 0.000 0.000 0.000
Pb: 0.750 0.750 0.750
Pt: 0.500 0.500 0.500
Pb: 0.250 0.250 0.250


No. 13
Below is an optimized crystal structure of PSe, with properties calculated at the PBE level.

## Properties
The calculation puts the relative energy among the computed polymorphs at 0.79 eV per formula unit. The uncorrected formation energy is 0.3156 eV per atom. Its size of the total moment is 0.000 μB per atom. Its total energy is -4.1316 eV/atom.

Cell: 3.784 3.784 3.784 Å, 60.00 60.00 60.00°
Fractional coordinates of all 2 atoms:
Se: 0.500 0.500 0.500
P: 0.000 0.000 0.000